IBr2O: optimized geometry, PBE-GGA.

* raw formation energy: 1.088 eV/atom
* volume: 355.7 Å³ per cell
* distance to the lowest polymorph of the same formula: 1.859 eV/f.u.
* calculated total energy: -1.375 eV/atom
* spin magnetization: 0.000 μB/cell

Cell and atoms, written as CIF:
```
data_IBr2O
_cell_length_a 7.085
_cell_length_b 7.085
_cell_length_c 7.085
_cell_angle_alpha 90.00
_cell_angle_beta 90.00
_cell_angle_gamma 90.00
_space_group_name_H-M_alt 'F m -3 m'
_space_group_IT_number 225
_space_group_name_Hall '-F 4 2 3'
loop_
_atom_site_label
_atom_site_type_symbol
_atom_site_fract_x
_atom_site_fract_y
_atom_site_fract_z
I1 I 0.000 0.000 0.000
Br1 Br 0.250 0.250 0.250
O1 O 0.000 0.000 0.500
```


Cd12Ag6Pd: optimized geometry, PBE-GGA.

* volume: 1209.8 Å³ per cell
* distance to the lowest polymorph of the same formula: 0.915 eV/f.u.
* calculated total energy: -1.779 eV/atom
* spin magnetization: 0.000 μB/cell

Cell and atoms, written as CIF:
```
data_Cd12Ag6Pd
_cell_length_a 10.2243
_cell_length_b 10.2243
_cell_length_c 13.3637
_cell_angle_alpha 90.00
_cell_angle_beta 90.00
_cell_angle_gamma 120.00
_space_group_name_H-M_alt 'R -3'
_space_group_IT_number 148
_space_group_name_Hall '-R 3'
loop_
_atom_site_label
_atom_site_type_symbol
_atom_site_fract_x
_atom_site_fract_y
_atom_site_fract_z
Cd1 Cd 0.0571 0.8678 0.3918
Cd2 Cd 0.0856 0.2031 0.1598
Ag1 Ag 0.0104 0.4563 0.6252
Pd1 Pd 0.0000 0.0000 0.0000
```


CaTc2P2: optimized geometry, PBE-GGA.

* volume: 167.8 Å³ per cell
* distance to the lowest polymorph of the same formula: 0.000 eV/f.u.
* calculated total energy: -7.472 eV/atom
* spin magnetization: 0.000 μB/cell

Cell and atoms, written as CIF:
```
data_CaTc2P2
_cell_length_a 4.157
_cell_length_b 4.157
_cell_length_c 9.711
_cell_angle_alpha 90.00
_cell_angle_beta 90.00
_cell_angle_gamma 90.00
_space_group_name_H-M_alt 'I 4/m m m'
_space_group_IT_number 139
_space_group_name_Hall '-I 4 2'
loop_
_atom_site_label
_atom_site_type_symbol
_atom_site_fract_x
_atom_site_fract_y
_atom_site_fract_z
Ca1 Ca 0.000 0.000 0.000
Tc1 Tc 0.000 0.500 0.250
P1 P 0.000 0.000 0.366
```